Computed, not measured: crystalline VP at its relaxed geometry at the GGA-PBEsol level of DFT.

Properties
formation enthalpy at 0 K = -1.80 eV per formula unit
total magnetization = 0.00 μB/f.u.

Cell: 3.0874 3.0874 6.2425 Å, 90.00 90.00 120.00°
Space group P6_3/mmc (No. 194)
Asymmetric unit:
V  0.0000  0.0000  0.0000 (multiplicity 2)
P  0.3333  0.6667  0.2500 (multiplicity 2)

Computed, not measured: crystalline NiRu3 at its relaxed geometry at the GGA-PBEsol level of DFT.

Properties
formation enthalpy at 0 K = 0.62 eV per formula unit
total magnetization = 0.00 μB/f.u.

Cell: 2.6303 2.6303 7.3320 Å, 90.00 90.00 90.00°
Space group P4/mmm (No. 123)
Asymmetric unit:
Ni  0.0000  0.0000  0.0000 (multiplicity 1)
Ru  0.0000  0.0000  0.5000 (multiplicity 1)
Ru  0.5000  0.5000  0.2426 (multiplicity 2)

Computed, not measured: crystalline SrLu2S4 at its relaxed geometry at the GGA-PBEsol level of DFT.

Properties
total magnetization = 0.00 μB/f.u.
calculated total energy = -6.3367 eV per atom

Cell: 11.7275 3.8677 13.9487 Å, 90.00 90.00 90.00°
Space group Pnma (No. 62)
Asymmetric unit:
Sr  0.2411  0.2500  0.1637 (multiplicity 4)
Lu  0.0651  0.2500  0.3903 (multiplicity 4)
Lu  0.0809  0.2500  0.9003 (multiplicity 4)
S  0.0243  0.7500  0.7838 (multiplicity 4)
S  0.0867  0.2500  0.5777 (multiplicity 4)
S  0.1283  0.7500  0.0268 (multiplicity 4)
S  0.2063  0.7500  0.3308 (multiplicity 4)